VASP calculation (PBE) on an optimized crystal structure of Li2PrSmGe2.

The structure in POSCAR format:
```
Li2PrSmGe2
1.0
4.496 0.000 0.000
-2.248 3.894 0.000
0.000 0.000 7.532
Li Ge Pr Sm
2 2 1 1
direct
0.333 0.667 0.735
0.667 0.333 0.265
0.333 0.667 0.257
0.667 0.333 0.743
0.000 0.000 0.000
0.000 0.000 0.500
```

Computed properties:
- Total magnetization: 0.00 μB/cell
- ΔH_f (0 K): -0.67 eV per atom

---

VASP calculation (PBE) on an optimized crystal structure of SrLi2Pr2Ge2.

The structure in POSCAR format:
```
SrLi2Pr2Ge2
1.0
4.695 0.000 0.000
2.348 4.066 0.000
2.348 1.355 9.577
Li Ge Pr Sr
2 2 2 1
direct
0.592 0.592 0.225
0.408 0.408 0.775
0.746 0.746 0.763
0.254 0.254 0.237
0.871 0.871 0.386
0.129 0.129 0.614
0.000 0.000 0.000
```

Computed properties:
- Total magnetization: 0.00 μB/cell
- ΔH_f (0 K): -0.47 eV per atom

---

VASP calculation (PBE) on an optimized crystal structure of LiTbPrGe.

The structure in POSCAR format:
```
LiTbPrGe
1.0
5.143 0.000 0.000
2.572 4.454 0.000
2.572 1.485 4.199
Tb Li Pr Ge
1 1 1 1
direct
0.000 0.000 0.000
0.750 0.750 0.750
0.500 0.500 0.500
0.250 0.250 0.250
```

Computed properties:
- Total magnetization: 0.00 μB/cell
- ΔH_f (0 K): -0.41 eV per atom

---

VASP calculation (PBE) on an optimized crystal structure of Li2TbPrGe2.

The structure in POSCAR format:
```
Li2TbPrGe2
1.0
4.472 0.000 0.000
-2.236 3.873 0.000
0.000 0.000 7.434
Li Tb Ge Pr
2 1 2 1
direct
0.667 0.333 0.279
0.333 0.667 0.721
0.000 0.000 0.500
0.667 0.333 0.737
0.333 0.667 0.263
0.000 0.000 0.000
```

Computed properties:
- Total magnetization: 0.00 μB/cell
- ΔH_f (0 K): -0.68 eV per atom

---

VASP calculation (PBE) on an optimized crystal structure of Li2PrTh2Ge2.

The structure in POSCAR format:
```
Li2PrTh2Ge2
1.0
4.541 0.000 0.000
2.271 3.933 0.000
2.271 1.311 9.349
Pr Ge Li Th
1 2 2 2
direct
0.000 0.000 0.000
0.264 0.264 0.209
0.736 0.736 0.791
0.400 0.400 0.799
0.600 0.600 0.201
0.871 0.871 0.386
0.129 0.129 0.614
```

Computed properties:
- Total magnetization: 0.00 μB/cell
- ΔH_f (0 K): -0.33 eV per atom

---

VASP calculation (PBE) on an optimized crystal structure of LiPrTlGe.

The structure in POSCAR format:
```
LiPrTlGe
1.0
5.163 0.000 0.000
2.581 4.471 0.000
2.581 1.490 4.215
Tl Ge Pr Li
1 1 1 1
direct
0.750 0.750 0.750
0.250 0.250 0.250
0.500 0.500 0.500
0.000 0.000 0.000
```

Computed properties:
- Total magnetization: 0.00 μB/cell
- ΔH_f (0 K): -0.34 eV per atom

---

VASP calculation (PBE) on an optimized crystal structure of Li2PrTmGe2.

The structure in POSCAR format:
```
Li2PrTmGe2
1.0
4.449 0.000 0.000
-2.224 3.853 0.000
0.000 0.000 7.330
Li Pr Tm Ge
2 1 1 2
direct
0.333 0.667 0.709
0.667 0.333 0.291
0.000 0.000 0.000
0.000 0.000 0.500
0.333 0.667 0.268
0.667 0.333 0.732
```

Computed properties:
- Total magnetization: 0.00 μB/cell
- ΔH_f (0 K): -0.67 eV per atom

---

VASP calculation (PBE) on an optimized crystal structure of LiPrTmGe.

The structure in POSCAR format:
```
LiPrTmGe
1.0
-4.698 -1.971 0.219
-1.688 -2.991 -3.769
-0.634 -4.996 0.800
Ge Li Tm Pr
1 1 1 1
direct
0.250 0.250 0.250
0.750 0.750 0.750
0.000 0.000 0.000
0.500 0.500 0.500
```

Computed properties:
- Total magnetization: 0.00 μB/cell
- ΔH_f (0 K): -0.39 eV per atom

---

VASP calculation (PBE) on an optimized crystal structure of Li2PrYGe2.

The structure in POSCAR format:
```
Li2PrYGe2
1.0
-0.910 2.900 3.275
-3.224 -2.647 -1.600
1.728 -5.154 5.045
Ge Li Y Pr
2 2 1 1
direct
0.667 0.333 0.737
0.333 0.667 0.263
0.333 0.667 0.719
0.667 0.333 0.281
0.000 0.000 0.500
0.000 0.000 0.000
```

Computed properties:
- Total magnetization: 0.00 μB/cell
- ΔH_f (0 K): -0.69 eV per atom

---

VASP calculation (PBE) on an optimized crystal structure of Li2PrY2Ge2.

The structure in POSCAR format:
```
Li2PrY2Ge2
1.0
4.517 0.000 0.000
2.259 3.912 0.000
2.259 1.304 9.133
Ge Li Y Pr
2 2 2 1
direct
0.740 0.740 0.779
0.260 0.260 0.221
0.595 0.595 0.216
0.405 0.405 0.784
0.128 0.128 0.616
0.872 0.872 0.384
0.000 0.000 0.000
```

Computed properties:
- Total magnetization: 0.00 μB/cell
- ΔH_f (0 K): -0.50 eV per atom

---

VASP calculation (PBE) on an optimized crystal structure of LiPrYGe.

The structure in POSCAR format:
```
LiPrYGe
1.0
-4.399 2.442 -1.037
-4.328 -2.683 -0.685
-3.727 0.190 3.531
Ge Li Y Pr
1 1 1 1
direct
0.250 0.250 0.250
0.750 0.750 0.750
0.500 0.500 0.500
0.000 0.000 0.000
```

Computed properties:
- Total magnetization: 0.00 μB/cell
- ΔH_f (0 K): -0.43 eV per atom

---

VASP calculation (PBE) on an optimized crystal structure of LiPrZn2Ge2.

The structure in POSCAR format:
```
LiPrZn2Ge2
1.0
4.309 0.000 0.000
-2.155 3.732 0.000
0.000 0.000 7.050
Zn Pr Li Ge
2 1 1 2
direct
0.667 0.333 0.329
0.333 0.667 0.671
0.000 0.000 0.000
0.000 0.000 0.500
0.333 0.667 0.263
0.667 0.333 0.737
```

Computed properties:
- Total magnetization: 0.00 μB/cell
- ΔH_f (0 K): -0.50 eV per atom